No. 1
# GdAl2Zn | the Alexandria database | GGA-PBE | relaxed
data_GdAl2Zn
_cell_length_a 3.0910
_cell_length_b 3.0910
_cell_length_c 30.7425
_cell_angle_alpha 90.00
_cell_angle_beta 90.00
_cell_angle_gamma 120.00
_symmetry_space_group_name_H-M 'R -3 m'
_symmetry_Int_Tables_number 166
_symmetry_space_group_name_Hall '-R 3 2"'
loop_
_atom_site_label
_atom_site_fract_x
_atom_site_fract_y
_atom_site_fract_z
Gd1 0.0000 0.0000 0.0000
Al1 0.0000 0.0000 0.0985
Zn1 0.0000 0.0000 0.5000
# * total DFT energy (no corrections): -5.433 eV/atom
# * energy of formation from the pure elements: 27 kJ/mol of atoms
# * N(E_F): 0.73 states/eV/atom

No. 2
# In12Hg5Bi2 | the Alexandria database | GGA-PBE | relaxed
data_In12Hg5Bi2
_cell_length_a 13.073
_cell_length_b 10.447
_cell_length_c 8.198
_cell_angle_alpha 90.00
_cell_angle_beta 105.60
_cell_angle_gamma 90.00
_symmetry_space_group_name_H-M 'C 1 2/m 1'
_symmetry_Int_Tables_number 12
_symmetry_space_group_name_Hall '-C 2y'
loop_
_atom_site_label
_atom_site_fract_x
_atom_site_fract_y
_atom_site_fract_z
In1 0.024 0.000 0.215
In2 0.092 0.500 0.371
In3 0.103 0.253 0.919
In4 0.232 0.185 0.318
Hg1 0.000 0.500 0.000
Hg2 0.174 0.000 0.618
Hg3 0.248 0.500 0.991
Bi1 0.000 0.247 0.500
# * total DFT energy (no corrections): -2.181 eV/atom
# * energy of formation from the pure elements: 3 kJ/mol of atoms
# * relative energy among the computed polymorphs: 0 meV/atom
# * N(E_F): 0.34 states/eV/atom

No. 3
# Al2AgBr | the Alexandria database | GGA-PBE | relaxed
data_Al2AgBr
_cell_length_a 4.140
_cell_length_b 4.140
_cell_length_c 10.068
_cell_angle_alpha 90.00
_cell_angle_beta 90.00
_cell_angle_gamma 90.00
_symmetry_space_group_name_H-M 'I 4/m m m'
_symmetry_Int_Tables_number 139
_symmetry_space_group_name_Hall '-I 4 2'
loop_
_atom_site_label
_atom_site_fract_x
_atom_site_fract_y
_atom_site_fract_z
Al1 0.000 0.500 0.250
Ag1 0.000 0.000 0.000
Br1 0.000 0.000 0.500
# * E_form (uncorrected): 0.25 eV/atom
# * total DFT energy (no corrections): -2.755 eV/atom
# * relative energy among the computed polymorphs: 248 meV/atom
# * N(E_F): 0.32 states/eV/atom

No. 4
# Re2MoSe | the Alexandria database | GGA-PBE | relaxed
data_Re2MoSe
_cell_length_a 5.620
_cell_length_b 5.620
_cell_length_c 11.302
_cell_angle_alpha 90.00
_cell_angle_beta 90.00
_cell_angle_gamma 90.00
_symmetry_space_group_name_H-M 'I -4 2 d'
_symmetry_Int_Tables_number 122
_symmetry_space_group_name_Hall 'I -4 2bw'
loop_
_atom_site_label
_atom_site_fract_x
_atom_site_fract_y
_atom_site_fract_z
Re1 0.243 0.250 0.125
Mo1 0.000 0.000 0.500
Se1 0.000 0.000 0.000
# * E_form (uncorrected): 1.22 eV/atom
# * total DFT energy (no corrections): -8.578 eV/atom
# * N(E_F): 1.18 states/eV/atom

No. 5
# DyGaAg2O4 | the Alexandria database | GGA-PBE | relaxed
data_DyGaAg2O4
_cell_length_a 5.614
_cell_length_b 3.287
_cell_length_c 6.307
_cell_angle_alpha 90.00
_cell_angle_beta 112.90
_cell_angle_gamma 90.00
_symmetry_space_group_name_H-M 'P 1 2/m 1'
_symmetry_Int_Tables_number 10
_symmetry_space_group_name_Hall '-P 2y'
loop_
_atom_site_label
_atom_site_fract_x
_atom_site_fract_y
_atom_site_fract_z
Dy1 0.000 0.000 0.000
Ga1 0.500 0.500 0.000
Ag1 0.000 0.500 0.500
Ag2 0.500 0.000 0.500
O1 0.272 0.000 0.806
O2 0.280 0.500 0.180
# * E_form (uncorrected): -1.55 eV/atom
# * total DFT energy (no corrections): -5.692 eV/atom
# * N(E_F): 0.10 states/eV/atom

No. 6
# La2CdHgRu | the Alexandria database | GGA-PBE | relaxed
data_La2CdHgRu
_cell_length_a 5.349
_cell_length_b 5.349
_cell_length_c 5.331
_cell_angle_alpha 90.00
_cell_angle_beta 90.00
_cell_angle_gamma 90.00
_symmetry_space_group_name_H-M 'P 4/m m m'
_symmetry_Int_Tables_number 123
_symmetry_space_group_name_Hall '-P 4 2'
loop_
_atom_site_label
_atom_site_fract_x
_atom_site_fract_y
_atom_site_fract_z
La1 0.000 0.500 0.000
Cd1 0.000 0.000 0.500
Hg1 0.500 0.500 0.500
Ru1 0.000 0.000 0.000
# * total DFT energy (no corrections): -4.343 eV/atom
# * energy of formation from the pure elements: -26 kJ/mol of atoms
# * relative energy among the computed polymorphs: 114 meV/atom
# * N(E_F): 0.85 states/eV/atom